(1)
## HgPbSO (PBE)

Data for a relaxed HgPbSO crystal.

The structure belongs to space group Pca2_1 (No. 29); the cell edges are 6.067, 9.916 and 6.051 Å and the angles 90.00°, 90.00° and 90.00°. Symmetry generates all atoms from Hg at (0.022, 0.094, 0.000), Pb at (0.004, 0.671, 0.010), S at (0.005, 0.663, 0.513) and O at (0.045, 0.109, 0.561).

The calculation puts the raw total energy at -3.71 eV per atom. For the calculated density, the calculation gives 8.3 g/cm³.


(2)
## ErLuAs (PBE)

Data for a relaxed ErLuAs crystal.

The structure belongs to space group F-43m (No. 216); the cell edges are 6.695, 6.695 and 6.695 Å and the angles 90.00°, 90.00° and 90.00°. Symmetry generates all atoms from Er at (0.000, 0.000, 0.000), Lu at (0.000, 0.000, 0.500) and As at (0.250, 0.250, 0.250).

The calculation puts the raw total energy at -5.24 eV per atom. For the calculated density, the calculation gives 9.2 g/cm³. As for the magnetization: 0.003 μB/atom.


(3)
## KSrNp (PBE)

Data for a relaxed KSrNp crystal.

The structure belongs to space group F-43m (No. 216); the cell edges are 8.698, 8.698 and 8.698 Å and the angles 90.00°, 90.00° and 90.00°. Symmetry generates all atoms from K at (0.000, 0.000, 0.000), Sr at (0.250, 0.250, 0.250) and Np at (0.250, 0.250, 0.750).

The calculation puts the raw total energy at -3.66 eV per atom. For the calculated density, the calculation gives 3.7 g/cm³. As for the magnetization: 2.268 μB/atom.


(4)
## CoSbPt (PBE)

Data for a relaxed CoSbPt crystal.

The structure belongs to space group Pnma (No. 62); the cell edges are 5.422, 3.683 and 9.588 Å and the angles 90.00°, 90.00° and 90.00°. Symmetry generates all atoms from Co at (0.118, 0.250, 0.248), Sb at (0.161, 0.250, 0.622) and Pt at (0.171, 0.250, 0.925).

The calculation puts the raw total energy at -5.80 eV per atom. For the calculated density, the calculation gives 13.0 g/cm³. As for the magnetization: 0.008 μB/atom.


(5)
## Pr4BICl4 (PBE)

Data for a relaxed Pr4BICl4 crystal.

The structure belongs to space group C2/m (No. 12); the cell edges are 18.096, 4.103 and 8.948 Å and the angles 90.00°, 104.48° and 90.00°. Symmetry generates all atoms from Pr at (0.001, 0.000, 0.297), Pr at (0.150, 0.500, 0.582), B at (0.000, 0.500, 0.500), I at (0.000, 0.500, 0.000), Cl at (0.165, 0.000, 0.809) and Cl at (0.170, 0.000, 0.363).

The calculation puts the raw total energy at -5.02 eV per atom. For the calculated density, the calculation gives 4.4 g/cm³. As for the magnetization: 0.001 μB/atom.


(6)
## Cs2ReSe2S (PBE)

Data for a relaxed Cs2ReSe2S crystal.

The structure belongs to space group P-1 (No. 2); the cell edges are 7.383, 8.082 and 9.132 Å and the angles 74.65°, 67.33° and 65.40°. Symmetry generates all atoms from Cs at (0.089, 0.189, 0.144), Cs at (0.325, 0.589, 0.306), Re at (0.394, 0.051, 0.649), Se at (0.191, 0.355, 0.715), Se at (0.392, 0.829, 0.881) and S at (0.270, 0.974, 0.494).

The calculation puts the raw total energy at -4.92 eV per atom. For the calculated density, the calculation gives 4.7 g/cm³. As for the magnetization: 0.141 μB/atom.


(7)
## ErLuMg2 (PBE)

Data for a relaxed ErLuMg2 crystal.

The structure belongs to space group Amm2 (No. 38); the cell edges are 5.413, 6.791 and 11.608 Å and the angles 90.00°, 90.00° and 90.00°. Symmetry generates all atoms from Er at (0.000, 0.000, 0.000), Er at (0.500, 0.000, 0.338), Lu at (0.500, 0.247, 0.589), Mg at (0.000, 0.000, 0.506), Mg at (0.000, 0.248, 0.751) and Mg at (0.500, 0.000, 0.840).

The calculation puts the raw total energy at -3.03 eV per atom. For the calculated density, the calculation gives 6.1 g/cm³. As for the magnetization: 0.007 μB/atom.


(8)
## PmTm2Co9 (PBE)

Data for a relaxed PmTm2Co9 crystal.

The structure belongs to space group R-3m (No. 166, hexagonal axes); the cell edges are 4.9678, 4.9678 and 24.0391 Å and the angles 90.00°, 90.00° and 120.00°. Symmetry generates all atoms from Pm at (0.0000, 0.0000, 0.0000), Tm at (0.0000, 0.0000, 0.1404), Co at (0.0000, 0.0000, 0.3353), Co at (0.0000, 0.0000, 0.5000) and Co at (0.0047, 0.5024, 0.9172).

For the calculated density, the calculation gives 9.8 g/cm³. The formation energy from the elements comes out at -206 kJ/mol of formula units. As for the magnetization: 0.887 μB/atom.


Among the records above, which one has the highest calculated density? CoSbPt


calculated density of number 1 (HgPbSO)? 8.3 g/cm³